# LaSiIr | Alexandria via LeMat-Bulk | GGA-PBEsol | optimized geometry
data_LaSiIr
_chemical_formula_sum 'La4 Si4 Ir4'
_symmetry_space_group_name_H-M 'P 1'
_symmetry_Int_Tables_number 1
_cell_length_a 6.3573
_cell_length_b 6.3573
_cell_length_c 6.3573
_cell_angle_alpha 90.00
_cell_angle_beta 90.00
_cell_angle_gamma 90.00
loop_
_symmetry_equiv_pos_as_xyz
'x,y,z'
loop_
_atom_site_label
_atom_site_type_symbol
_atom_site_fract_x
_atom_site_fract_y
_atom_site_fract_z
Ir1 Ir 0.9281 0.9281 0.9281
Ir2 Ir 0.0719 0.4281 0.5719
Ir3 Ir 0.4281 0.5719 0.0719
Ir4 Ir 0.5719 0.0719 0.4281
La1 La 0.3641 0.1359 0.8641
La2 La 0.8641 0.3641 0.1359
La3 La 0.1359 0.8641 0.3641
La4 La 0.6359 0.6359 0.6359
Si1 Si 0.1592 0.6592 0.8408
Si2 Si 0.6592 0.8408 0.1592
Si3 Si 0.8408 0.1592 0.6592
Si4 Si 0.3408 0.3408 0.3408
# Total magnetic moment (μB per formula unit): 0.0
# Formation energy without anion corrections (eV per atom): -0.974
# DOS(E_F) (states/eV per atom): 0.36
# Crystal system: cubic